# PBE Ir2PbSe, optimized geometry
data_Ir2PbSe
_chemical_formula_sum 'Ir8 Pb4 Se4'
_symmetry_space_group_name_H-M 'I -4 2 d'
_symmetry_Int_Tables_number 122
_symmetry_space_group_name_Hall 'I -4 2bw'
_cell_length_a 4.6589
_cell_length_b 4.6589
_cell_length_c 16.0189
_cell_angle_alpha 90.00
_cell_angle_beta 90.00
_cell_angle_gamma 90.00
loop_
_atom_site_label
_atom_site_type_symbol
_atom_site_fract_x
_atom_site_fract_y
_atom_site_fract_z
Ir1 Ir 0.1458 0.2500 0.1250
Pb1 Pb 0.0000 0.0000 0.5000
Se1 Se 0.0000 0.0000 0.0000
# excess energy over the best structure of this formula in the dataset: 22.83 kJ per mole of atoms
# spin magnetization: 0.000 μB per cell
# ΔE_f (raw): 0.316 eV/atom


# PBE IrPbSe2, optimized geometry
data_IrPbSe2
_chemical_formula_sum 'Ir3 Pb3 Se6'
_symmetry_space_group_name_H-M 'R -3 m'
_symmetry_Int_Tables_number 166
_symmetry_space_group_name_Hall '-R 3 2"'
_cell_length_a 3.0107
_cell_length_b 3.0107
_cell_length_c 35.6992
_cell_angle_alpha 90.00
_cell_angle_beta 90.00
_cell_angle_gamma 120.00
loop_
_atom_site_label
_atom_site_type_symbol
_atom_site_fract_x
_atom_site_fract_y
_atom_site_fract_z
Ir1 Ir 0.0000 0.0000 0.0000
Pb1 Pb 0.0000 0.0000 0.5000
Se1 Se 0.0000 0.0000 0.0669
# spin magnetization: 0.000 μB per cell
# ΔE_f (raw): 0.373 eV/atom


# PBE IrPbSe2, optimized geometry
data_IrPbSe2
_chemical_formula_sum 'Ir1 Pb1 Se2'
_symmetry_space_group_name_H-M 'P m m m'
_symmetry_Int_Tables_number 47
_cell_length_a 3.3302
_cell_length_b 4.7602
_cell_length_c 5.1732
_cell_angle_alpha 90.00
_cell_angle_beta 90.00
_cell_angle_gamma 90.00
loop_
_symmetry_equiv_pos_as_xyz
'x,y,z'
'-x,-y,-z'
'-x,-y,z'
'x,y,-z'
'x,-y,-z'
'-x,y,z'
'-x,y,-z'
'x,-y,z'
loop_
_atom_site_label
_atom_site_type_symbol
_atom_site_fract_x
_atom_site_fract_y
_atom_site_fract_z
Ir1 Ir 0.0000 0.0000 0.0000
Pb1 Pb 0.5000 0.0000 0.5000
Se1 Se 0.0000 0.5000 0.5000
Se2 Se 0.5000 0.5000 0.0000
# spin magnetization: 0.000 μB per cell
# ΔE_f (raw): 0.577 eV/atom